(1)
Entry from Alexandria: a relaxed structure of Sc2TiSnH (PBE-GGA).

abc: 4.4225 4.4225 4.2693
angles: 90.00 90.00 90.00
With the nearest neighbours (Å) after each atom.
Space group P4/mmm (No. 123)
Asymmetric unit:
1 Sc 0.0000 0.5000 0.0000  2 H 2.21
2 Ti 0.0000 0.0000 0.5000  2 H 2.13
3 Sn 0.5000 0.5000 0.5000  8 Sc 3.07, 4 Ti 3.13
4 H 0.0000 0.0000 0.0000  2 Ti 2.13, 4 Sc 2.21

Values from the calculation:
mass density: 5.12 Mg/m³

---

(2)
Entry from Alexandria: a relaxed structure of ScTi2SnH (PBE-GGA).

abc: 4.2055 4.2055 4.3975
angles: 90.00 90.00 90.00
With the nearest neighbours (Å) after each atom.
Space group P4/mmm (No. 123)
Asymmetric unit:
1 Sc 0.0000 0.0000 0.0000  2 H 2.20
2 Ti 0.0000 0.5000 0.5000  2 H 2.10
3 Sn 0.5000 0.5000 0.0000  4 Sc 2.97, 8 Ti 3.04
4 H 0.0000 0.0000 0.5000  4 Ti 2.10, 2 Sc 2.20

Values from the calculation:
mass density: 5.56 Mg/m³

---

(3)
Entry from Alexandria: a relaxed structure of Sc4TlSnH (PBE-GGA).

abc: 6.0364 15.7699 6.0376
angles: 90.00 90.00 90.00
With the nearest neighbours (Å) after each atom.
Space group Cmcm (No. 63)
Asymmetric unit:
1 Sc 0.0000 0.0745 0.2500  3 Tl 2.94-3.08, 2 Sn 3.07
2 Sc 0.0000 0.4229 0.2500  1 H 2.16
3 Sc 0.2500 0.2500 0.0000  2 H 2.21
4 Tl 0.0000 0.1117 0.7500  9 Sc 2.94-3.08
5 Sn 0.0000 0.3885 0.7500  9 Sc 2.97-3.07
6 H 0.0000 0.2860 0.2500  5 Sc 2.16-2.21

Values from the calculation:
mass density: 5.82 Mg/m³

---

(4)
Entry from Alexandria: a relaxed structure of Sc2VSnH (PBE-GGA).

abc: 4.5104 4.5104 3.9730
angles: 90.00 90.00 90.00
With the nearest neighbours (Å) after each atom.
Space group P4/mmm (No. 123)
Asymmetric unit:
1 Sc 0.0000 0.5000 0.0000  2 H 2.26
2 V 0.0000 0.0000 0.5000  2 H 1.99
3 Sn 0.5000 0.5000 0.5000  8 Sc 3.01, 4 V 3.19
4 H 0.0000 0.0000 0.0000  2 V 1.99

Values from the calculation:
mass density: 5.35 Mg/m³

---

(5)
Entry from Alexandria: a relaxed structure of ScV2SnH (PBE-GGA).

abc: 4.0069 4.0069 4.4017
angles: 90.00 90.00 90.00
With the nearest neighbours (Å) after each atom.
Space group P4/mmm (No. 123)
Asymmetric unit:
1 Sc 0.0000 0.0000 0.0000  2 H 2.20
2 V 0.0000 0.5000 0.5000  2 H 2.00
3 Sn 0.5000 0.5000 0.0000  4 Sc 2.83, 8 V 2.98
4 H 0.0000 0.0000 0.5000  4 V 2.00, 2 Sc 2.20

Values from the calculation:
mass density: 6.26 Mg/m³

---

(6)
Entry from Alexandria: a relaxed structure of ScZn2SnH (PBE-GGA).

abc: 4.2959 4.2959 4.1785
angles: 90.00 90.00 90.00
With the nearest neighbours (Å) after each atom.
Space group P4/mmm (No. 123)
Asymmetric unit:
1 Sc 0.0000 0.0000 0.0000  2 H 2.09
2 Zn 0.0000 0.5000 0.5000  2 H 2.15
3 Sn 0.5000 0.5000 0.0000  8 Zn 3.00, 4 Sc 3.04
4 H 0.0000 0.0000 0.5000  2 Sc 2.09, 4 Zn 2.15

Values from the calculation:
mass density: 6.36 Mg/m³

---

Number 1: E -6.0295 eV per atom, Fermi-level density of states 5.29 states/eV/cell. Number 2: E -6.3058 eV per atom, Fermi-level density of states 4.35 states/eV/cell. Number 3: E -5.4675 eV per atom, Fermi-level density of states 24.89 states/eV/cell. Number 4: E -6.1672 eV per atom, Fermi-level density of states 3.88 states/eV/cell. Number 5: E -6.5345 eV per atom, Fermi-level density of states 4.66 states/eV/cell. Number 6: E -3.4656 eV per atom, Fermi-level density of states 1.59 states/eV/cell.